VASP calculation (PBE+U) on a relaxed structure of Cs2KCrF5.

abc: 4.5382 6.2718 13.6634
angles: 90.00 90.00 90.00
With the nearest neighbours (Å) after each atom.
Space group Immm (No. 71)
Unique sites:
Cs 0.0000 0.0000 0.2099 (multiplicity 4)  7 F 2.87-3.03
K 0.0000 0.5000 0.0000 (multiplicity 2)  10 F 3.14-3.19
Cr 0.0000 0.5000 0.5000 (multiplicity 2)  6 F 2.09-2.27
F 0.0000 0.0000 0.0000 (multiplicity 2)  2 Cr 2.27
F 0.0000 0.2664 0.3913 (multiplicity 8)  1 Cr 2.09

Results
* raw total energy: -86.655 eV per cell